First-principles (PBE-GGA) data for Ac2PbOF after structural relaxation, as listed in Alexandria.

CIF file:
```
data_Ac2PbOF
_chemical_formula_sum 'Ac2 Pb1 O1 F1'
_cell_length_a 4.210
_cell_length_b 4.210
_cell_length_c 7.827
_cell_angle_alpha 105.60
_cell_angle_beta 105.60
_cell_angle_gamma 90.00
_space_group_name_H-M_alt 'P 1'
_space_group_IT_number 1
_space_group_name_Hall 'P 1'
loop_
_atom_site_label
_atom_site_type_symbol
_atom_site_fract_x
_atom_site_fract_y
_atom_site_fract_z
O1 O 0.250 0.750 0.500
Pb1 Pb 0.000 0.000 0.000
F1 F 0.750 0.250 0.500
Ac1 Ac 0.349 0.349 0.699
Ac2 Ac 0.651 0.651 0.301
```

First-principles (PBE-GGA) data for Ac2PbO3F3 after structural relaxation, as listed in Alexandria.

CIF file:
```
data_Ac2PbO3F3
_chemical_formula_sum 'Ac2 Pb1 O3 F3'
_cell_length_a 3.831
_cell_length_b 6.535
_cell_length_c 6.535
_cell_angle_alpha 120.00
_cell_angle_beta 90.00
_cell_angle_gamma 90.00
_space_group_name_H-M_alt 'P 1'
_space_group_IT_number 1
_space_group_name_Hall 'P 1'
loop_
_atom_site_label
_atom_site_type_symbol
_atom_site_fract_x
_atom_site_fract_y
_atom_site_fract_z
F1 F 0.000 0.434 0.000
F2 F 0.000 0.000 0.434
F3 F 0.000 0.566 0.566
Pb1 Pb 0.000 0.000 0.000
O1 O 0.500 0.257 0.257
O2 O 0.500 0.000 0.743
O3 O 0.500 0.743 0.000
Ac1 Ac 0.500 0.333 0.667
Ac2 Ac 0.500 0.667 0.333
```

First-principles (PBE-GGA) data for AcPtO3F after structural relaxation, as listed in Alexandria.

CIF file:
```
data_AcPtO3F
_chemical_formula_sum 'Ac2 Pt2 O6 F2'
_cell_length_a 4.794
_cell_length_b 7.352
_cell_length_c 6.849
_cell_angle_alpha 57.54
_cell_angle_beta 78.01
_cell_angle_gamma 67.23
_space_group_name_H-M_alt 'P 1'
_space_group_IT_number 1
_space_group_name_Hall 'P 1'
loop_
_atom_site_label
_atom_site_type_symbol
_atom_site_fract_x
_atom_site_fract_y
_atom_site_fract_z
Ac1 Ac 0.750 0.650 0.701
Ac2 Ac 0.250 0.350 0.299
Pt1 Pt 0.750 0.071 0.857
Pt2 Pt 0.250 0.929 0.143
O1 O 0.015 0.228 0.854
O2 O 0.515 0.082 0.146
O3 O 0.985 0.772 0.146
O4 O 0.250 0.766 0.468
O5 O 0.750 0.234 0.532
O6 O 0.485 0.918 0.854
F1 F 0.250 0.557 0.886
F2 F 0.750 0.443 0.114
```

First-principles (PBE-GGA) data for Ac3PtO6F2 after structural relaxation, as listed in Alexandria.

CIF file:
```
data_Ac3PtO6F2
_chemical_formula_sum 'Ac3 Pt1 O6 F2'
_cell_length_a 5.223
_cell_length_b 7.034
_cell_length_c 6.961
_cell_angle_alpha 120.35
_cell_angle_beta 87.11
_cell_angle_gamma 90.00
_space_group_name_H-M_alt 'P 1'
_space_group_IT_number 1
_space_group_name_Hall 'P 1'
loop_
_atom_site_label
_atom_site_type_symbol
_atom_site_fract_x
_atom_site_fract_y
_atom_site_fract_z
Ac1 Ac 0.000 0.500 0.000
Ac2 Ac 0.500 0.500 0.500
Ac3 Ac 0.500 0.000 0.500
O1 O 0.699 0.850 0.700
O2 O 0.706 0.292 0.127
O3 O 0.301 0.150 0.300
O4 O 0.294 0.165 0.873
O5 O 0.706 0.835 0.127
O6 O 0.294 0.708 0.873
F1 F 0.802 0.317 0.635
F2 F 0.198 0.683 0.365
Pt1 Pt 0.500 0.000 0.000
```

First-principles (PBE-GGA) data for AcPuO4F after structural relaxation, as listed in Alexandria.

CIF file:
```
data_AcPuO4F
_chemical_formula_sum 'Ac2 Pu2 O8 F2'
_cell_length_a 6.417
_cell_length_b 6.417
_cell_length_c 6.898
_cell_angle_alpha 86.26
_cell_angle_beta 86.26
_cell_angle_gamma 72.85
_space_group_name_H-M_alt 'P 1'
_space_group_IT_number 1
_space_group_name_Hall 'P 1'
loop_
_atom_site_label
_atom_site_type_symbol
_atom_site_fract_x
_atom_site_fract_y
_atom_site_fract_z
O1 O 0.446 0.446 0.686
O2 O 0.799 0.799 0.489
O3 O 0.136 0.494 0.174
O4 O 0.506 0.864 0.826
O5 O 0.554 0.554 0.314
O6 O 0.201 0.201 0.511
O7 O 0.864 0.506 0.826
O8 O 0.494 0.136 0.174
Ac1 Ac 0.193 0.193 0.915
Ac2 Ac 0.807 0.807 0.085
F1 F 0.028 0.028 0.182
F2 F 0.972 0.972 0.818
Pu1 Pu 0.637 0.637 0.626
Pu2 Pu 0.363 0.363 0.374
```

First-principles (PBE-GGA) data for Rb2AcO2F after structural relaxation, as listed in Alexandria.

CIF file:
```
data_Rb2AcO2F
_chemical_formula_sum 'Rb2 Ac1 O2 F1'
_cell_length_a 4.870
_cell_length_b 4.870
_cell_length_c 6.326
_cell_angle_alpha 90.00
_cell_angle_beta 90.00
_cell_angle_gamma 90.00
_space_group_name_H-M_alt 'P 1'
_space_group_IT_number 1
_space_group_name_Hall 'P 1'
loop_
_atom_site_label
_atom_site_type_symbol
_atom_site_fract_x
_atom_site_fract_y
_atom_site_fract_z
F1 F 0.000 0.000 0.500
Rb1 Rb 0.500 0.500 0.254
Rb2 Rb 0.500 0.500 0.746
O1 O 0.500 0.000 0.000
O2 O 0.000 0.500 0.000
Ac1 Ac 0.000 0.000 0.000
```

First-principles (PBE-GGA) data for Ac2ReO6F after structural relaxation, as listed in Alexandria.

CIF file:
```
data_Ac2ReO6F
_chemical_formula_sum 'Ac2 Re1 O6 F1'
_cell_length_a 6.802
_cell_length_b 6.802
_cell_length_c 6.802
_cell_angle_alpha 53.11
_cell_angle_beta 53.11
_cell_angle_gamma 53.11
_space_group_name_H-M_alt 'P 1'
_space_group_IT_number 1
_space_group_name_Hall 'P 1'
loop_
_atom_site_label
_atom_site_type_symbol
_atom_site_fract_x
_atom_site_fract_y
_atom_site_fract_z
O1 O 0.165 0.659 0.029
O2 O 0.987 0.892 0.356
O3 O 0.356 0.987 0.892
O4 O 0.029 0.165 0.659
O5 O 0.892 0.356 0.987
O6 O 0.659 0.029 0.165
F1 F 0.539 0.539 0.539
Ac1 Ac 0.673 0.673 0.673
Ac2 Ac 0.193 0.193 0.193
Re1 Re 0.007 0.007 0.007
```

First-principles (PBE-GGA) data for AcReO4F after structural relaxation, as listed in Alexandria.

CIF file:
```
data_AcReO4F
_chemical_formula_sum 'Ac2 Re2 O8 F2'
_cell_length_a 7.256
_cell_length_b 5.131
_cell_length_c 5.206
_cell_angle_alpha 90.00
_cell_angle_beta 110.95
_cell_angle_gamma 90.00
_space_group_name_H-M_alt 'P 1'
_space_group_IT_number 1
_space_group_name_Hall 'P 1'
loop_
_atom_site_label
_atom_site_type_symbol
_atom_site_fract_x
_atom_site_fract_y
_atom_site_fract_z
O1 O 0.659 0.250 0.587
O2 O 0.001 0.500 0.773
O3 O 0.001 0.000 0.773
O4 O 0.999 0.500 0.227
O5 O 0.341 0.750 0.413
O6 O 0.342 0.750 0.929
O7 O 0.658 0.250 0.071
O8 O 0.999 0.000 0.227
F1 F 0.682 0.750 0.840
F2 F 0.318 0.250 0.160
Ac1 Ac 0.317 0.250 0.659
Ac2 Ac 0.683 0.750 0.341
Re1 Re 0.139 0.750 0.070
Re2 Re 0.861 0.250 0.930
```

First-principles (PBE-GGA) data for AcReO4F2 after structural relaxation, as listed in Alexandria.

CIF file:
```
data_AcReO4F2
_chemical_formula_sum 'Ac1 Re1 O4 F2'
_cell_length_a 6.874
_cell_length_b 4.809
_cell_length_c 4.782
_cell_angle_alpha 105.41
_cell_angle_beta 85.31
_cell_angle_gamma 106.53
_space_group_name_H-M_alt 'P 1'
_space_group_IT_number 1
_space_group_name_Hall 'P 1'
loop_
_atom_site_label
_atom_site_type_symbol
_atom_site_fract_x
_atom_site_fract_y
_atom_site_fract_z
F1 F 0.212 0.325 0.430
F2 F 0.260 0.917 0.873
Re1 Re 0.738 0.745 0.502
O1 O 0.603 0.491 0.699
O2 O 0.565 0.806 0.291
O3 O 0.862 0.080 0.748
O4 O 0.916 0.596 0.274
Ac1 Ac 0.229 0.426 0.956
```

First-principles (PBE-GGA) data for AcRu2O7F2 after structural relaxation, as listed in Alexandria.

CIF file:
```
data_AcRu2O7F2
_chemical_formula_sum 'Ac1 Ru2 O7 F2'
_cell_length_a 3.945
_cell_length_b 3.945
_cell_length_c 9.955
_cell_angle_alpha 101.42
_cell_angle_beta 101.44
_cell_angle_gamma 90.00
_space_group_name_H-M_alt 'P 1'
_space_group_IT_number 1
_space_group_name_Hall 'P 1'
loop_
_atom_site_label
_atom_site_type_symbol
_atom_site_fract_x
_atom_site_fract_y
_atom_site_fract_z
O1 O 0.702 0.702 0.404
O2 O 0.595 0.095 0.190
O3 O 0.500 0.500 0.000
O4 O 0.095 0.595 0.190
O5 O 0.298 0.298 0.596
O6 O 0.905 0.405 0.810
O7 O 0.405 0.905 0.810
Ru1 Ru 0.387 0.387 0.773
Ru2 Ru 0.613 0.613 0.227
F1 F 0.750 0.250 0.500
F2 F 0.250 0.750 0.500
Ac1 Ac 0.000 0.000 0.000
```

no.,electronic total energy (eV per atom)
1,-6.22
2,-6.45
3,-6.34
4,-6.74
5,-8.62
6,-5.26
7,-7.89
8,-7.89
9,-7.72
10,-6.25